[1]
A PBEsol-optimized structure of Sc2Mn2Os. Source: Alexandria, functional meta-GGA SCAN.

Magnetization (μB per formula unit): 5.2
Calculated formation energy (eV/atom): 0.765
Raw total energy (eV per atom): -26.61
Symmetry: I4/mmm

a = 3.747 Å, b = 3.747 Å, c = 6.187 Å
α = 107.63°, β = 107.63°, γ = 90.00°
Site moments in Bohr magnetons follow the coordinates.
Fractional coordinates of all 5 atoms:
1 Mn 0.413 0.413 0.827  2.31
2 Mn 0.587 0.587 0.173  2.31
3 Sc 0.750 0.250 0.500  -0.11
4 Sc 0.250 0.750 0.500  -0.11
5 Os 0.000 0.000 0.000  0.66



[2]
A PBEsol-optimized structure of CoRu2Br. Source: Alexandria, functional meta-GGA SCAN.

Magnetization (μB per formula unit): 1.0
Raw total energy (eV per atom): -25.78
E above lowest polymorph (eV per atom): 0.000
Formation energy (no corrections) (eV/atom): 0.8205
Symmetry: Pmm2

a = 2.843 Å, b = 3.470 Å, c = 5.720 Å
α = 90.00°, β = 90.00°, γ = 90.00°
Site moments in Bohr magnetons follow the coordinates.
Fractional coordinates of all 4 atoms:
1 Ru 0.500 0.500 0.207  -0.45
2 Ru 0.000 0.000 0.986  -0.17
3 Br 0.000 0.000 0.537  0.06
4 Co 0.500 0.500 0.769  1.57



[3]
A PBEsol-optimized structure of NbZnAs3. Source: Alexandria, functional meta-GGA SCAN.

Magnetization (μB per formula unit): 0.0
Calculated formation energy (eV/atom): 0.449
Raw total energy (eV per atom): -20.99
Symmetry: Pm-3m

a = 4.942 Å, b = 4.942 Å, c = 4.942 Å
α = 90.00°, β = 90.00°, γ = 90.00°
Fractional coordinates of all 5 atoms:
1 Nb 0.000 0.000 0.000
2 As 0.000 0.000 0.500
3 As 0.500 0.000 0.000
4 As 0.000 0.500 0.000
5 Zn 0.500 0.500 0.500



[4]
A PBEsol-optimized structure of MgInFePt2. Source: Alexandria, functional meta-GGA SCAN.

Magnetization (μB per formula unit): 3.5
Calculated formation energy (eV/atom): 0.963
Raw total energy (eV per atom): -38.41
Symmetry: P4/mmm

a = 4.562 Å, b = 4.562 Å, c = 4.860 Å
α = 90.00°, β = 90.00°, γ = 90.00°
Site moments in Bohr magnetons follow the coordinates.
Fractional coordinates of all 5 atoms:
1 Fe 0.500 0.500 0.500  3.47
2 Mg 0.000 0.000 0.000  0.00
3 Pt 0.500 0.000 0.000  0.04
4 Pt 0.000 0.500 0.000  0.04
5 In 0.000 0.000 0.500  0.01